The following is a PBEsol calculation of crystalline AlSiTe2 at its relaxed geometry, from Alexandria.

Properties
- energy relative to the elements, uncorrected (eV per atom) = 0.34
- mass density (g/cm3) = 4.98
- total energy (eV/atom) = -3.884
- volume (Å³ per atom) = 25.84

a = 3.889 Å, b = 3.889 Å, c = 13.665 Å
α = 90.00°, β = 90.00°, γ = 90.00°
Space group I-4m2 (No. 119)
Inequivalent atoms, fractional coordinates:
Al 0.000 0.000 0.000
Si 0.000 0.500 0.250
Te 0.000 0.000 0.500
Te 0.000 0.500 0.750